Record 1
InBRu2 | the Alexandria database | PBE | relaxed; raw total energy = -54.708 eV/cell
1.0
6.698 0.000 0.000
0.000 6.698 0.000
3.349 3.349 2.562
Ru B In
4 2 2
Cartesian
4.422 1.675 0.641
2.276 5.024 0.641
5.024 5.625 1.922
8.373 7.771 1.922
3.349 3.349 0.000
3.349 6.698 1.281
0.000 0.000 0.000
6.698 3.349 1.281

Record 2
In2BRu2 | the Alexandria database | PBE | relaxed; raw total energy = -60.817 eV/cell
1.0
-5.777 -1.323 0.463
-0.277 -0.847 -5.878
1.031 -4.300 0.571
Ru B In
4 2 4
Cartesian
-2.171 -1.152 -4.756
-5.012 -1.669 -3.518
-3.884 -1.018 -0.658
-1.043 -0.502 -1.897
0.000 0.000 0.000
-3.027 -1.085 -2.707
-0.618 -2.930 -3.542
-3.554 -3.737 -4.319
-4.407 -3.541 -1.301
-1.470 -2.734 -0.524

Record 3
InBRu | the Alexandria database | PBE | relaxed; raw total energy = -74.088 eV/cell
1.0
-2.099 3.728 -0.144
-1.659 1.238 -6.594
-6.624 -1.359 -1.424
In Ru B
4 4 4
Cartesian
-7.593 0.324 -5.724
-6.934 3.222 -6.445
-2.790 3.282 -2.438
-3.449 0.385 -1.716
-5.465 0.457 -3.614
-2.984 1.754 -6.202
-4.917 3.149 -4.547
-7.399 1.852 -1.960
-6.749 2.132 -4.005
-4.267 3.430 -6.593
-3.634 1.474 -4.157
-6.115 0.176 -1.568

Record 4
InBRu2 | the Alexandria database | PBE | relaxed; raw total energy = -25.473 eV/cell
1.0
0.000 3.017 3.017
3.017 0.000 3.017
3.017 3.017 0.000
Ru B In
2 1 1
Cartesian
1.508 1.508 1.508
4.525 4.525 4.525
0.000 0.000 0.000
3.017 3.017 3.017

Record 5
InB2Ru | the Alexandria database | PBE | relaxed; raw total energy = -45.500 eV/cell
1.0
-0.212 1.702 -4.758
-5.049 -0.271 0.128
-2.843 5.480 -0.602
Ru B In
2 4 2
Cartesian
-2.630 0.715 -2.315
-5.261 2.962 -1.394
-1.458 2.269 -2.744
-3.909 1.543 -1.030
-4.492 4.625 -2.178
-6.349 5.382 -4.513
0.000 0.000 0.000
-2.843 3.948 -3.838

Record 6
In2BSbRu | the Alexandria database | PBE | relaxed; E_form (uncorrected) = 1.72 eV per atom
1.0
-4.256 -2.429 2.882
2.801 -1.548 2.833
-0.567 4.710 3.133
Sb B Ru In
1 1 1 2
Cartesian
0.000 0.000 0.000
1.401 -0.774 1.417
-1.011 0.366 4.424
-0.284 2.355 1.567
-2.128 -1.215 1.441

Record 7
InSiB2Ru | the Alexandria database | PBE | relaxed; E_form (uncorrected) = 2.34 eV per atom
1.0
-0.950 0.728 -4.012
1.095 -5.142 -1.193
-3.988 -1.025 0.759
Ru Si B In
1 1 2 1
Cartesian
-1.922 -2.719 -2.223
0.547 -2.571 -0.596
-1.994 -0.513 0.379
-0.475 0.364 -2.006
0.000 0.000 0.000

Record 8
Tb3In2BRu3 | the Alexandria database | PBE | relaxed; raw total energy = -56.594 eV/cell
1.0
3.509 0.000 0.000
0.000 7.627 0.000
0.000 -3.814 6.605
Tb In B Ru
3 2 1 3
Cartesian
0.000 -1.304 2.259
0.000 2.509 4.346
0.000 2.609 0.000
1.754 0.000 4.404
1.754 3.814 2.202
0.000 0.000 0.000
1.754 5.988 0.000
1.754 0.820 1.419
1.754 -2.994 5.186

Record 9
TlInB2Ru | the Alexandria database | PBE | relaxed; raw total energy = -16.066 eV/cell
1.0
4.260 0.000 0.000
0.000 5.986 0.000
0.000 0.000 4.260
Ru Tl B In
1 1 2 1
Cartesian
2.130 2.993 2.130
0.000 0.000 0.000
0.000 0.000 2.130
2.130 0.000 0.000
0.000 2.993 0.000

Record 10
Tm3In2BRu3 | the Alexandria database | PBE | relaxed; raw total energy = -56.716 eV/cell
1.0
3.430 0.000 0.000
0.000 7.547 0.000
0.000 -3.774 6.536
Tm In B Ru
3 2 1 3
Cartesian
0.000 -1.288 2.231
0.000 2.486 4.305
0.000 2.576 0.000
1.715 0.000 4.358
1.715 3.774 2.179
0.000 0.000 0.000
1.715 5.893 0.000
1.715 0.827 1.433
1.715 -2.946 5.103

Record 11
Tm2InB2Ru5 | the Alexandria database | PBE | relaxed; raw total energy = -151.598 eV/cell
1.0
-1.204 -1.898 2.190
7.745 1.596 5.641
-4.526 7.569 4.072
Tm In B Ru
4 2 4 10
Cartesian
4.442 2.421 4.541
-1.224 6.744 5.172
-0.090 2.727 2.314
3.309 6.439 7.399
0.000 0.000 0.000
1.609 4.583 4.857
-1.869 4.908 3.226
5.087 4.257 6.487
0.850 7.635 7.085
2.368 1.530 2.628
0.836 -0.059 2.657
1.179 7.326 9.247
-3.563 5.017 4.638
3.077 3.467 6.945
5.577 2.250 7.265
-1.062 3.800 4.958
0.523 5.459 7.267
1.492 1.808 4.636
3.270 -0.151 3.916
-2.865 2.835 3.131

Record 12
U2InB2Ru5 | the Alexandria database | PBE | relaxed; raw total energy = -178.394 eV/cell
1.0
-2.347 0.101 2.121
6.098 -3.019 6.894
2.244 9.199 2.043
U In B Ru
4 2 4 10
Cartesian
4.528 -0.414 5.031
3.814 6.594 3.906
1.805 2.433 1.882
6.537 3.747 7.055
0.000 0.000 0.000
4.171 3.090 4.469
2.126 5.343 2.097
6.216 0.837 6.840
5.757 6.219 6.074
2.585 -0.039 2.863
0.363 0.034 2.761
5.632 6.248 8.296
1.004 6.959 3.140
4.210 1.797 6.935
4.991 -0.677 7.917
1.785 4.485 4.122
3.943 4.996 6.486
2.052 1.285 4.571
1.876 -1.459 4.507
-0.052 4.650 2.082

Record 13
InBRu2W | the Alexandria database | PBE | relaxed; raw total energy = -37.530 eV/cell
1.0
-2.787 0.341 2.990
2.873 -1.776 2.879
1.417 3.744 0.894
Ru B W In
2 1 1 1
Cartesian
0.709 1.872 0.447
-1.393 0.170 1.495
0.000 0.000 0.000
0.752 1.154 3.382
1.436 -0.888 1.440

Record 14
Y3In2BRu3 | the Alexandria database | PBE | relaxed; raw total energy = -62.147 eV/cell
1.0
-2.143 -2.252 -1.658
1.493 -5.279 5.240
-5.798 4.792 0.988
Y In B Ru
3 2 1 3
Cartesian
-1.997 1.651 0.340
-2.822 -0.319 4.082
0.514 -1.819 1.805
-4.439 0.309 1.576
-2.009 -3.048 2.994
0.000 0.000 0.000
0.099 -5.265 3.280
-2.001 -1.231 0.515
-5.618 2.632 -0.054

Record 15
Y2InB2Ru5 | the Alexandria database | PBE | relaxed; raw total energy = -158.441 eV/cell
1.0
-0.523 -1.706 -2.603
5.563 -7.200 3.601
-7.886 -3.991 4.200
Y In B Ru
4 2 4 10
Cartesian
2.369 -5.585 3.184
-4.692 -5.607 4.617
-1.558 -2.565 1.994
-0.766 -8.627 5.807
0.000 0.000 0.000
-1.162 -5.596 3.901
-4.227 -3.363 3.053
1.903 -7.829 4.748
-3.461 -7.984 5.927
1.138 -3.208 1.874
0.456 -2.769 -0.190
-3.302 -10.129 5.388
-5.966 -4.437 2.193
0.391 -7.809 3.127
3.120 -8.461 3.005
-3.237 -5.088 2.072
-2.830 -7.857 3.805
-0.016 -5.040 1.393
2.520 -4.453 0.499
-4.204 -2.849 0.798

Record 16
InBS | the Alexandria database | PBE | relaxed; offset from the most stable computed form = 147 meV/atom; E_form (uncorrected) = -0.01 eV per atom
1.0
-1.178 -3.826 -0.015
2.136 -0.640 -4.760
5.779 0.294 5.457
In B S
2 2 2
Cartesian
0.859 -2.362 0.703
5.878 -1.810 -0.021
0.241 -3.006 -2.390
0.717 -1.460 -2.385
2.328 -0.710 -1.762
4.409 -3.461 2.444

Record 17
InBS2 | the Alexandria database | PBE | relaxed; E_form (uncorrected) = 0.95 eV per atom
1.0
2.360 -0.618 3.886
-1.287 -3.248 2.974
2.574 -3.759 0.548
S B In
2 1 1
Cartesian
0.912 -1.906 1.852
2.735 -5.719 5.555
0.000 0.000 0.000
1.823 -3.812 3.704

Record 18
InBS3 | the Alexandria database | PBE | relaxed; E_form (uncorrected) = 0.45 eV per atom
1.0
4.300 0.000 0.000
0.000 4.300 0.000
0.000 0.000 4.300
S B In
3 1 1
Cartesian
0.000 2.150 0.000
0.000 0.000 2.150
2.150 0.000 0.000
0.000 0.000 0.000
2.150 2.150 2.150

Record 19
In2BS6 | the Alexandria database | PBE | relaxed; E_form (uncorrected) = -0.11 eV per atom
1.0
-7.103 6.756 1.559
-3.498 -3.682 0.021
6.449 -6.076 8.976
In B S
4 2 12
Cartesian
-0.979 -0.773 9.289
-3.504 -1.893 6.533
-0.648 -1.109 4.022
-3.172 -2.228 1.266
-5.300 1.537 0.790
3.225 -3.038 4.488
-6.384 -0.239 4.688
-5.016 0.225 6.233
-3.268 -2.076 9.217
-1.190 -0.563 6.605
1.215 -2.173 9.585
-5.618 2.522 2.165
2.233 -2.763 5.867
0.864 -3.227 4.322
-0.884 -0.925 1.338
-2.962 -2.439 3.950
-5.367 -0.829 0.970
1.467 -5.523 8.390

Record 20
InBS | the Alexandria database | PBE | relaxed; offset from the most stable computed form = 219 meV/atom; E_form (uncorrected) = 0.06 eV per atom
1.0
-5.292 -0.945 -5.624
2.109 -1.330 -1.761
-0.424 -4.442 2.847
S B In
2 2 2
Cartesian
-0.574 -4.138 2.439
0.693 -2.583 0.135
-4.996 -1.856 -4.582
-4.153 -4.742 -4.039
-3.298 -1.085 -3.130
-2.455 -3.970 -2.588

Record 21
InBS | the Alexandria database | PBE | relaxed; offset from the most stable computed form = 127 meV/atom; E_form (uncorrected) = -0.03 eV per atom
1.0
-2.019 2.299 2.705
-3.186 -5.245 -0.826
5.406 -1.777 2.525
S B In
2 2 2
Cartesian
2.006 -1.212 0.995
0.948 -4.813 2.818
-1.649 -2.005 1.420
-2.965 -2.989 1.467
3.942 -2.036 2.493
0.164 -3.170 0.684

Record 22
InB2S | the Alexandria database | PBE | relaxed; offset from the most stable computed form = 1116 meV/atom; E_form (uncorrected) = 1.73 eV per atom
1.0
-3.868 -1.675 -0.977
-3.588 1.687 1.733
-2.759 2.228 -2.479
S B In
1 2 1
Cartesian
0.000 0.000 0.000
-2.554 0.560 -0.431
-7.661 1.680 -1.293
-5.107 1.120 -0.862

Record 23
InBS | the Alexandria database | PBE | relaxed; offset from the most stable computed form = 174 meV/atom; E_form (uncorrected) = 0.02 eV per atom
1.0
-3.915 1.260 0.236
0.074 -4.328 2.872
2.241 3.202 4.209
S B In
2 2 2
Cartesian
-0.939 -0.189 1.790
-0.661 0.323 5.526
-0.617 1.637 1.716
-0.983 -1.503 5.600
-2.546 -1.306 3.507
0.946 1.440 3.809

Record 24
InB2S | the Alexandria database | PBE | relaxed; offset from the most stable computed form = 0 meV/atom; E_form (uncorrected) = 0.62 eV per atom
1.0
5.018 0.000 0.000
0.000 5.018 0.000
2.509 2.509 4.633
S B In
2 4 2
Cartesian
2.509 2.509 0.000
2.509 5.018 2.316
3.437 1.254 1.158
1.581 3.763 1.158
3.763 4.090 3.474
6.272 5.946 3.474
0.000 0.000 0.000
5.018 2.509 2.316

Number 1: spin magnetization 0.00 μB/cell. Number 2: spin magnetization 0.00 μB/cell. Number 3: spin magnetization 0.00 μB/cell. Number 4: spin magnetization 0.00 μB/cell. Number 5: spin magnetization 0.00 μB/cell. Number 6: spin magnetization 2.32 μB/cell. Number 7: spin magnetization 1.55 μB/cell. Number 8: spin magnetization 0.00 μB/cell. Number 9: spin magnetization 1.58 μB/cell. Number 10: spin magnetization 0.00 μB/cell. Number 11: spin magnetization 0.00 μB/cell. Number 12: spin magnetization 3.79 μB/cell. Number 13: spin magnetization 0.91 μB/cell. Number 14: spin magnetization 0.00 μB/cell. Number 15: spin magnetization 0.00 μB/cell. Number 16: spin magnetization 0.00 μB/cell. Number 17: spin magnetization 0.00 μB/cell. Number 18: spin magnetization 0.00 μB/cell. Number 19: spin magnetization 0.00 μB/cell. Number 20: spin magnetization 0.00 μB/cell. Number 21: spin magnetization 0.00 μB/cell. Number 22: spin magnetization 0.00 μB/cell. Number 23: spin magnetization 0.00 μB/cell. Number 24: spin magnetization 0.00 μB/cell.